one.
This record from Alexandria describes a geometry-optimized Ac2MgSb structure. The functional is PBE.

Cell: 5.793 5.793 5.793 Å, 60.00 60.00 60.00°
Element x y z (fractional)
Sb: 0.500 0.500 0.500
Ac: 0.250 0.250 0.250
Ac: 0.750 0.750 0.750
Mg: 0.000 0.000 0.000

Calculated density = 7250 kg/m3
Crystal system = cubic
DOS at the Fermi energy = 1.08 states/eV/atom



two.
This record from Alexandria describes a geometry-optimized Ac2MgSb structure. The functional is PBE.

Cell: 4.264 4.264 7.592 Å, 90.00 90.00 90.00°
Element x y z (fractional)
Sb: 0.500 0.500 0.500
Ac: 0.000 0.000 0.739
Ac: 0.000 0.000 0.261
Mg: 0.500 0.500 0.000

Calculated density = 7219 kg/m3
Crystal system = tetragonal
DOS at the Fermi energy = 0.75 states/eV/atom



three.
This record from Alexandria describes a geometry-optimized Ac2MgSb structure. The functional is PBE.

Cell: 4.337 4.337 11.747 Å, 79.36 79.36 60.00°
Element x y z (fractional)
Sb: 0.500 0.500 0.500
Ac: 0.106 0.106 0.681
Ac: 0.894 0.894 0.319
Mg: 0.000 0.000 0.000

Calculated density = 5331 kg/m3
Crystal system = trigonal
DOS at the Fermi energy = 1.23 states/eV/atom



two wins, 114 meV per atom ahead of the next structure.



one.
This record from Alexandria describes a geometry-optimized AcMgSc2 structure. The functional is PBE.

Cell: 3.408 3.408 11.867 Å, 81.74 81.74 60.00°
Element x y z (fractional)
Sc: 0.096 0.096 0.712
Sc: 0.904 0.904 0.288
Ac: 0.000 0.000 0.000
Mg: 0.500 0.500 0.500

Calculated density = 4814 kg/m3
Crystal system = trigonal
DOS at the Fermi energy = 1.45 states/eV/atom



two.
This record from Alexandria describes a geometry-optimized AcMgSc2 structure. The functional is PBE.

Cell: 3.690 3.690 8.310 Å, 90.00 90.00 90.00°
Element x y z (fractional)
Sc: 0.000 0.000 0.794
Sc: 0.000 0.000 0.206
Ac: 0.500 0.500 0.500
Mg: 0.500 0.500 0.000

Calculated density = 5007 kg/m3
Crystal system = tetragonal
DOS at the Fermi energy = 1.33 states/eV/atom



three.
This record from Alexandria describes a geometry-optimized AcMgSc2 structure. The functional is PBE.

Cell: 3.811 5.450 5.450 Å, 90.00 90.00 90.00°
Element x y z (fractional)
Sc: 0.000 0.000 0.500
Sc: 0.000 0.500 0.000
Ac: 0.500 0.500 0.500
Mg: 0.500 0.000 0.000

Calculated density = 5006 kg/m3
Crystal system = tetragonal
DOS at the Fermi energy = 1.68 states/eV/atom



two wins, 111 meV per atom ahead of the next structure.



one.
This record from Alexandria describes a geometry-optimized AcMgSe2 structure. The functional is PBE.

Cell: 4.198 4.198 8.875 Å, 76.32 76.32 60.00°
Each line ends with the local moment (μB).
Element x y z (fractional)
Ac: 0.000 0.000 0.000  0.10
Mg: 0.500 0.500 0.500  0.00
Se: 0.113 0.113 0.660  0.01
Se: 0.887 0.887 0.340  0.01

Calculated density = 5216 kg/m3
Crystal system = trigonal
DOS at the Fermi energy = 0.94 states/eV/atom



two.
This record from Alexandria describes a geometry-optimized AcMgSe2 structure. The functional is PBE.

Cell: 4.108 4.108 7.687 Å, 74.50 74.50 60.00°
Each line ends with the local moment (μB).
Element x y z (fractional)
Ac: 0.500 0.500 0.501  0.27
Mg: 0.668 0.668 0.995  0.01
Se: 0.068 0.068 0.796  0.01
Se: 0.264 0.264 0.208  0.01

Calculated density = 6359 kg/m3
Crystal system = trigonal
DOS at the Fermi energy = 0.17 states/eV/atom



two wins, 588 meV per atom ahead of the next structure.